Here is a relaxed structure of Pr2MnHgO5 from the Alexandria database. Energies are from PBE with a Hubbard U.

Lattice parameters (Å, degrees): 6.947 6.947 5.728 90.00 90.00 90.00
Atoms (fractional coordinates):
Pr (0.178, 0.322, 0.000)
Pr (0.322, 0.822, 0.000)
Pr (0.678, 0.178, 0.000)
Pr (0.822, 0.678, 0.000)
Mn (0.000, 0.500, 0.500)
Mn (0.500, 0.000, 0.500)
Hg (0.000, 0.000, 0.500)
Hg (0.500, 0.500, 0.500)
O (0.000, 0.000, 0.000)
O (0.130, 0.630, 0.252)
O (0.130, 0.630, 0.748)
O (0.370, 0.130, 0.252)
O (0.370, 0.130, 0.748)
O (0.500, 0.500, 0.000)
O (0.630, 0.870, 0.252)
O (0.630, 0.870, 0.748)
O (0.870, 0.370, 0.252)
O (0.870, 0.370, 0.748)

Calculated values
DOS(E_F)   5.157 states/eV per cell
E   -6.824 eV per atom
Symmetry   P4/mbm, No. 127